CaTa2VO8: optimized geometry, GGA+U.

Values from the calculation:
Electronic total energy in Ry per atom: -0.6416
Size of the total moment in μB per cell: 1.00

a = 4.836 Å, b = 4.836 Å, c = 6.318 Å
α = 90.15°, β = 90.69°, γ = 92.65°
Space group P-1 (No. 2)
One atom of each set of equivalent atoms:
Ca (0.000, 0.000, 0.000) x1
Ta (0.494, 0.515, 0.747) x2
V (0.000, 0.000, 0.500) x1
O (0.203, 0.200, 0.708) x2
O (0.208, 0.211, 0.282) x2
O (0.306, 0.693, 0.500) x2
O (0.325, 0.677, 0.998) x2